This record from Alexandria via LeMat-Bulk describes a PBEsol-optimized structure of BaCd2Ag. The functional is meta-GGA SCAN.

abc: 4.8483 4.8483 6.2432
angles: 67.15 67.15 60.00
Sites, in units of the cell vectors:
Ba 0.7543 0.7543 0.7371
Cd 0.9556 0.9556 0.1332
Ag 0.5554 0.5554 0.3337
Cd 0.2351 0.2351 0.2946

Results
**Magnetic moment**: 0.00 μB per atom
**E_tot**: -132.85 eV/cell
**Formation energy**: -0.2769 eV per atom

---

This record from Alexandria via LeMat-Bulk describes a PBEsol-optimized structure of BaCdAg2. The functional is meta-GGA SCAN.

abc: 4.7910 4.7910 6.1105
angles: 66.92 66.92 60.00
Sites, in units of the cell vectors:
Ag 0.3008 0.3008 0.0976
Ag 0.6992 0.6992 0.9024
Cd 0.0000 0.0000 0.0000
Ba 0.5000 0.5000 0.5000

Results
**Magnetic moment**: 0.00 μB per atom
**E_tot**: -133.74 eV/cell
**Formation energy**: -0.2606 eV per atom

---

This record from Alexandria via LeMat-Bulk describes a PBEsol-optimized structure of BaCd2Ag. The functional is meta-GGA SCAN.

abc: 3.6932 3.6932 7.6276
angles: 90.00 90.00 90.00
Sites, in units of the cell vectors:
Ag 0.0000 0.0000 0.4381
Ba 0.5000 0.5000 0.7393
Cd 0.5000 0.5000 0.2673
Cd 0.0000 0.0000 0.0553

Results
**Magnetic moment**: 0.00 μB per atom
**E_tot**: -132.26 eV/cell
**Formation energy**: -0.1287 eV per atom

---

Please write out number 3 again, unchanged.
This record from Alexandria via LeMat-Bulk describes a PBEsol-optimized structure of BaCd2Ag. The functional is meta-GGA SCAN.

abc: 3.6932 3.6932 7.6276
angles: 90.00 90.00 90.00
Sites, in units of the cell vectors:
Ag 0.0000 0.0000 0.4381
Ba 0.5000 0.5000 0.7393
Cd 0.5000 0.5000 0.2673
Cd 0.0000 0.0000 0.0553

Results
**Magnetic moment**: 0.00 μB per atom
**E_tot**: -132.26 eV/cell
**Formation energy**: -0.1287 eV per atom